Run A
FeSi2Ag | Alexandria via LeMat-Bulk | PBE | optimized geometry; space group = C2/m (12); total magnetic moment = 0.000 μB per cell
1.0
4.0798 -0.0013 0.0041
3.0747 2.6816 0.0041
0.8414 0.3152 5.1710
Ag Si Fe
1 2 1
direct
0.7500 0.7500 0.7500 Ag
0.5171 0.5171 0.4361 Si
0.9829 0.9829 0.0639 Si
0.2500 0.2500 0.2500 Fe

***

Run B
FeSi2Ag | Alexandria via LeMat-Bulk | PBE | optimized geometry; space group = I-42d (122); total magnetic moment = 0.000 μB per cell
1.0
3.9640 0.0000 0.0000
0.0000 3.9640 0.0000
1.9820 1.9820 7.8556
Si Fe Ag
4 2 2
direct
0.5635 0.1250 0.2500 Si
0.3750 0.4365 0.7500 Si
0.1865 0.6250 0.2500 Si
0.8750 0.8135 0.7500 Si
0.5000 0.5000 0.0000 Fe
0.2500 0.7500 0.5000 Fe
0.0000 0.0000 0.0000 Ag
0.7500 0.2500 0.5000 Ag

***

What should be chosen as the most stable of them? Choose run A.

***

Run A
Fe3SiAg | Alexandria via LeMat-Bulk | PBE | optimized geometry; space group = Pm-3m (221); total magnetic moment = 6.916 μB per cell
1.0
-2.0674 3.6767 -0.7833
-0.9355 -1.3690 -3.9569
-3.6410 -1.7360 1.4614
Ag Si Fe
1 1 3
direct
0.5000 0.5000 0.5000 Ag
0.0000 0.0000 0.0000 Si
0.0000 0.0000 0.5000 Fe
0.5000 0.0000 0.0000 Fe
0.0000 0.5000 0.0000 Fe

***

Run B
Fe3SiAg | Alexandria via LeMat-Bulk | PBE | optimized geometry; space group = Pm-3m (221); total magnetic moment = 9.232 μB per cell
1.0
-3.0163 -1.4236 3.2577
3.4695 -0.2464 3.1047
-0.7759 4.4328 1.2188
Fe Ag Si
3 1 1
direct
0.0000 0.0000 0.5000 Fe
0.5000 0.0000 0.0000 Fe
0.0000 0.5000 0.0000 Fe
0.0000 0.0000 0.0000 Ag
0.5000 0.5000 0.5000 Si

***

What should be chosen as the most stable of them? Choose run A.

***

Run A
FeAgSn2 | Alexandria via LeMat-Bulk | PBE | optimized geometry; space group = R-3m (166); total magnetic moment = 1.625 μB per cell
1.0
3.2243 0.0000 0.0000
1.6122 2.7924 0.0000
1.6122 0.9308 9.3421
Fe Sn Ag
1 2 1
direct
0.5000 0.5000 0.5000 Fe
0.0976 0.0976 0.7072 Sn
0.9024 0.9024 0.2928 Sn
0.0000 0.0000 0.0000 Ag

***

Run B
FeAgSn2 | Alexandria via LeMat-Bulk | PBE | optimized geometry; space group = Fm-3m (225); total magnetic moment = 0.000 μB per cell
1.0
1.5466 -4.2967 1.2955
-1.9077 -3.8921 -1.9350
2.5325 -2.6261 -3.0369
Sn Ag Fe
2 1 1
direct
0.2500 0.2500 0.2500 Sn
0.7500 0.7500 0.7500 Sn
0.5000 0.5000 0.5000 Ag
0.0000 0.0000 0.0000 Fe

***

What should be chosen as the most stable of them? Choose run A.

***

Run A
Fe2AgSn2 | Alexandria via LeMat-Bulk | PBE | optimized geometry; space group = P4/mbm (127); total magnetic moment = 7.169 μB per cell
1.0
7.2346 0.0000 0.0000
0.0000 7.2346 0.0000
0.0000 0.0000 3.2923
Sn Fe Ag
4 4 2
direct
0.8257 0.3257 0.5000 Sn
0.1743 0.6743 0.5000 Sn
0.3257 0.1743 0.5000 Sn
0.6743 0.8257 0.5000 Sn
0.8816 0.6184 0.0000 Fe
0.3816 0.8816 0.0000 Fe
0.6184 0.1184 0.0000 Fe
0.1184 0.3816 0.0000 Fe
0.0000 0.0000 0.0000 Ag
0.5000 0.5000 0.0000 Ag

***

Run B
Fe2AgSn2 | Alexandria via LeMat-Bulk | PBE | optimized geometry; space group = I4/mmm (139); total magnetic moment = 4.137 μB per cell
1.0
-3.3079 0.3176 0.1131
-0.0085 -1.1933 3.1036
-0.7866 7.5458 4.6802
Sn Fe Ag
2 2 1
direct
0.3787 0.3787 0.2427 Sn
0.6213 0.6213 0.7573 Sn
0.7500 0.2500 0.5000 Fe
0.2500 0.7500 0.5000 Fe
0.0000 0.0000 0.0000 Ag

***

What should be chosen as the most stable of them? Choose run A.